1.
This record from Alexandria via LeMat-Bulk describes a geometry-optimized ScMn2Cl structure. The functional is PBE.

Results
* ΔE_f (raw): 0.167 eV per atom
* calculated density: 4.53 g/cm³
* energy relative to the lowest polymorph listed for this composition: 0.461 eV/atom

abc: 3.751 3.751 9.911
angles: 90.00 90.00 90.00
Space group I4/mmm (No. 139)
Symmetry-distinct sites (fractional):
1 Sc 0.000 0.000 0.000 (multiplicity 2)
2 Mn 0.000 0.500 0.250 (multiplicity 4)
3 Cl 0.000 0.000 0.500 (multiplicity 2)

=====

2.
This record from Alexandria via LeMat-Bulk describes a geometry-optimized ScMnCl4 structure. The functional is PBE.

Results
* ΔE_f (raw): 0.302 eV per atom
* calculated density: 2.87 g/cm³

abc: 8.236 8.236 8.236
angles: 90.00 90.00 90.00
Space group F-43m (No. 216)
Symmetry-distinct sites (fractional):
1 Sc 0.000 0.000 0.000 (multiplicity 4)
2 Mn 0.250 0.250 0.250 (multiplicity 4)
3 Cl 0.125 0.125 0.625 (multiplicity 16)

=====

3.
This record from Alexandria via LeMat-Bulk describes a geometry-optimized ScMnCl structure. The functional is PBE.

Results
* ΔE_f (raw): 0.362 eV per atom
* calculated density: 3.34 g/cm³

abc: 6.455 6.455 6.455
angles: 90.00 90.00 90.00
Space group F-43m (No. 216)
Symmetry-distinct sites (fractional):
1 Sc 0.000 0.000 0.000 (multiplicity 4)
2 Mn 0.250 0.250 0.250 (multiplicity 4)
3 Cl 0.250 0.250 0.750 (multiplicity 4)

=====

4.
This record from Alexandria via LeMat-Bulk describes a geometry-optimized Sc2MnCl8 structure. The functional is PBE.

Results
* ΔE_f (raw): -1.746 eV per atom
* calculated density: 2.36 g/cm³

abc: 18.808 3.446 9.302
angles: 90.00 90.30 90.00
Space group C2/m (No. 12)
Symmetry-distinct sites (fractional):
1 Sc 0.154 0.000 0.264 (multiplicity 4)
2 Mn 0.000 0.500 0.000 (multiplicity 2)
3 Cl 0.003 0.000 0.811 (multiplicity 4)
4 Cl 0.100 0.500 0.425 (multiplicity 4)
5 Cl 0.138 0.500 0.054 (multiplicity 4)
6 Cl 0.246 0.000 0.705 (multiplicity 4)

=====

5.
This record from Alexandria via LeMat-Bulk describes a geometry-optimized ScMn2Cl structure. The functional is PBE.

Results
* ΔE_f (raw): 0.024 eV per atom
* calculated density: 4.27 g/cm³
* energy relative to the lowest polymorph listed for this composition: 0.318 eV/atom

abc: 3.1840 3.1840 25.3111
angles: 90.00 90.00 120.00
Space group R-3m (No. 166, hexagonal axes)
Symmetry-distinct sites (fractional):
1 Sc 0.0000 0.0000 0.0000 (multiplicity 3)
2 Mn 0.0000 0.0000 0.2447 (multiplicity 6)
3 Cl 0.0000 0.0000 0.5000 (multiplicity 3)

=====

6.
This record from Alexandria via LeMat-Bulk describes a geometry-optimized ScMn2Cl structure. The functional is PBE.

Results
* ΔE_f (raw): 0.605 eV per atom
* calculated density: 4.63 g/cm³
* energy relative to the lowest polymorph listed for this composition: 0.899 eV/atom

abc: 6.485 6.485 6.485
angles: 90.00 90.00 90.00
Space group Fm-3m (No. 225)
Symmetry-distinct sites (fractional):
1 Sc 0.000 0.000 0.000 (multiplicity 4)
2 Mn 0.250 0.250 0.250 (multiplicity 8)
3 Cl 0.000 0.000 0.500 (multiplicity 4)